Record 1
The following is a PBE-GGA calculation of a geometry-optimized La4SiSeI2 structure, from the Alexandria database.

Raw formation energy ... -1.293 eV per atom
Crystal system ... monoclinic
Symmetry ... No. 10

Cell and atoms, written as CIF:
```
data_La4SiSeI2
_chemical_formula_sum 'La4 Si1 Se1 I2'
_cell_length_a 4.420
_cell_length_b 7.607
_cell_length_c 8.138
_cell_angle_alpha 108.41
_cell_angle_beta 90.00
_cell_angle_gamma 90.00
_space_group_name_H-M_alt 'P 1'
_space_group_IT_number 1
_space_group_name_Hall 'P 1'
loop_
_atom_site_label
_atom_site_fract_x
_atom_site_fract_y
_atom_site_fract_z
La1 0.500 0.227 0.201
La2 0.500 0.773 0.799
La3 0.000 0.259 0.799
La4 0.000 0.741 0.201
Si1 0.000 0.000 0.000
Se1 0.500 0.500 0.000
I1 0.500 0.000 0.500
I2 0.000 0.500 0.500
```

***

Record 2
The following is a PBE-GGA calculation of a geometry-optimized La8Si3SeI4 structure, from the Alexandria database.

Raw formation energy ... -1.179 eV per atom
Crystal system ... monoclinic
Symmetry ... No. 12

Cell and atoms, written as CIF:
```
data_La8Si3SeI4
_chemical_formula_sum 'La8 Si3 Se1 I4'
_cell_length_a 8.818
_cell_length_b 9.340
_cell_length_c 8.819
_cell_angle_alpha 118.17
_cell_angle_beta 120.00
_cell_angle_gamma 90.00
_space_group_name_H-M_alt 'P 1'
_space_group_IT_number 1
_space_group_name_Hall 'P 1'
loop_
_atom_site_label
_atom_site_fract_x
_atom_site_fract_y
_atom_site_fract_z
La1 0.238 0.700 0.962
La2 0.236 0.699 0.473
La3 0.266 0.300 0.533
La4 0.725 0.700 0.962
La5 0.275 0.300 0.038
La6 0.734 0.700 0.467
La7 0.764 0.301 0.527
La8 0.762 0.300 0.038
Si1 0.500 0.500 0.000
Si2 0.500 0.500 0.500
Si3 0.000 0.500 0.500
Se1 0.000 0.500 0.000
I1 0.500 0.000 0.000
I2 0.500 0.000 0.500
I3 0.000 0.000 0.000
I4 0.000 0.000 0.500
```

***

Record 3
The following is a PBE-GGA calculation of a geometry-optimized La4SiSe2I structure, from the Alexandria database.

Raw formation energy ... -1.467 eV per atom
Crystal system ... monoclinic
Symmetry ... No. 10

Cell and atoms, written as CIF:
```
data_La4SiSe2I
_chemical_formula_sum 'La4 Si1 Se2 I1'
_cell_length_a 4.376
_cell_length_b 7.548
_cell_length_c 7.788
_cell_angle_alpha 71.09
_cell_angle_beta 90.00
_cell_angle_gamma 90.00
_space_group_name_H-M_alt 'P 1'
_space_group_IT_number 1
_space_group_name_Hall 'P 1'
loop_
_atom_site_label
_atom_site_fract_x
_atom_site_fract_y
_atom_site_fract_z
La1 0.000 0.765 0.719
La2 0.000 0.235 0.281
La3 0.500 0.749 0.272
La4 0.500 0.251 0.728
Si1 0.000 0.500 0.500
Se1 0.000 0.000 0.000
Se2 0.500 0.000 0.500
I1 0.500 0.500 0.000
```

***

Record 4
The following is a PBE-GGA calculation of a geometry-optimized La6Si2Se3I structure, from the Alexandria database.

Raw formation energy ... -1.443 eV per atom
Crystal system ... monoclinic
Symmetry ... No. 12

Cell and atoms, written as CIF:
```
data_La6Si2Se3I
_chemical_formula_sum 'La6 Si2 Se3 I1'
_cell_length_a 4.371
_cell_length_b 8.876
_cell_length_c 9.796
_cell_angle_alpha 102.12
_cell_angle_beta 102.89
_cell_angle_gamma 90.00
_space_group_name_H-M_alt 'P 1'
_space_group_IT_number 1
_space_group_name_Hall 'P 1'
loop_
_atom_site_label
_atom_site_fract_x
_atom_site_fract_y
_atom_site_fract_z
La1 0.324 0.896 0.647
La2 0.669 0.578 0.339
La3 0.676 0.104 0.353
La4 0.007 0.278 0.014
La5 0.993 0.722 0.986
La6 0.331 0.422 0.661
Si1 0.834 0.668 0.667
Si2 0.166 0.332 0.333
Se1 0.500 0.500 0.000
Se2 0.839 0.164 0.678
Se3 0.161 0.836 0.322
I1 0.500 0.000 0.000
```

***

Record 5
The following is a PBE-GGA calculation of a geometry-optimized La6SnSe2I3 structure, from the Alexandria database.

Raw formation energy ... -1.337 eV per atom
Crystal system ... monoclinic
Symmetry ... No. 12

Cell and atoms, written as CIF:
```
data_La6SnSe2I3
_chemical_formula_sum 'La6 Sn1 Se2 I3'
_cell_length_a 7.696
_cell_length_b 7.696
_cell_length_c 8.168
_cell_angle_alpha 99.04
_cell_angle_beta 99.04
_cell_angle_gamma 120.10
_space_group_name_H-M_alt 'P 1'
_space_group_IT_number 1
_space_group_name_Hall 'P 1'
loop_
_atom_site_label
_atom_site_fract_x
_atom_site_fract_y
_atom_site_fract_z
La1 0.929 0.581 0.789
La2 0.719 0.719 0.206
La3 0.071 0.419 0.211
La4 0.581 0.929 0.789
La5 0.281 0.281 0.794
La6 0.419 0.071 0.211
Sn1 0.000 0.000 0.000
Se1 0.332 0.668 0.000
Se2 0.668 0.332 0.000
I1 0.159 0.841 0.500
I2 0.841 0.159 0.500
I3 0.500 0.500 0.500
```

***

Record 6
The following is a PBE-GGA calculation of a geometry-optimized La4SnSe2I structure, from the Alexandria database.

Raw formation energy ... -1.471 eV per atom
Crystal system ... orthorhombic
Symmetry ... No. 74

Cell and atoms, written as CIF:
```
data_La4SnSe2I
_chemical_formula_sum 'La8 Sn2 Se4 I2'
_cell_length_a 8.955
_cell_length_b 8.955
_cell_length_c 9.069
_cell_angle_alpha 120.42
_cell_angle_beta 120.42
_cell_angle_gamma 89.94
_space_group_name_H-M_alt 'P 1'
_space_group_IT_number 1
_space_group_name_Hall 'P 1'
loop_
_atom_site_label
_atom_site_fract_x
_atom_site_fract_y
_atom_site_fract_z
La1 0.270 0.745 0.008
La2 0.755 0.230 0.492
La3 0.245 0.770 0.508
La4 0.730 0.255 0.992
La5 0.746 0.754 0.027
La6 0.746 0.754 0.473
La7 0.254 0.246 0.527
La8 0.254 0.246 0.973
Sn1 0.000 0.500 0.000
Sn2 0.000 0.500 0.500
Se1 0.500 0.000 0.000
Se2 0.500 0.000 0.500
Se3 0.000 0.000 0.500
Se4 0.500 0.500 0.000
I1 0.500 0.500 0.500
I2 0.000 0.000 0.000
```

***

Record 7
The following is a PBE-GGA calculation of a geometry-optimized LaTeSeI2 structure, from the Alexandria database.

Raw formation energy ... -0.357 eV per atom
Crystal system ... tetragonal
Symmetry ... No. 123

Cell and atoms, written as CIF:
```
data_LaTeSeI2
_chemical_formula_sum 'La1 Te1 Se1 I2'
_cell_length_a 6.241
_cell_length_b 6.389
_cell_length_c 6.241
_cell_angle_alpha 90.00
_cell_angle_beta 90.00
_cell_angle_gamma 90.00
_space_group_name_H-M_alt 'P 1'
_space_group_IT_number 1
_space_group_name_Hall 'P 1'
loop_
_atom_site_label
_atom_site_fract_x
_atom_site_fract_y
_atom_site_fract_z
I1 0.000 0.000 0.500
I2 0.500 0.000 0.000
Te1 0.000 0.500 0.000
Se1 0.500 0.500 0.500
La1 0.000 0.000 0.000
```

***

Record 8
The following is a PBE-GGA calculation of a geometry-optimized La4TeSeI2 structure, from the Alexandria database.

Raw formation energy ... -1.383 eV per atom
Crystal system ... monoclinic
Symmetry ... No. 10

Cell and atoms, written as CIF:
```
data_La4TeSeI2
_chemical_formula_sum 'La4 Te1 Se1 I2'
_cell_length_a 4.494
_cell_length_b 7.789
_cell_length_c 7.986
_cell_angle_alpha 109.04
_cell_angle_beta 90.00
_cell_angle_gamma 90.00
_space_group_name_H-M_alt 'P 1'
_space_group_IT_number 1
_space_group_name_Hall 'P 1'
loop_
_atom_site_label
_atom_site_fract_x
_atom_site_fract_y
_atom_site_fract_z
La1 0.500 0.218 0.212
La2 0.500 0.782 0.788
La3 0.000 0.237 0.777
La4 0.000 0.763 0.223
Te1 0.500 0.500 0.000
Se1 0.000 0.000 0.000
I1 0.500 0.000 0.500
I2 0.000 0.500 0.500
```

***

Record 9
The following is a PBE-GGA calculation of a geometry-optimized LaTeSeI2 structure, from the Alexandria database.

Raw formation energy ... -0.239 eV per atom
Crystal system ... tetragonal
Symmetry ... No. 123

Cell and atoms, written as CIF:
```
data_LaTeSeI2
_chemical_formula_sum 'La1 Te1 Se1 I2'
_cell_length_a 5.725
_cell_length_b 5.725
_cell_length_c 5.534
_cell_angle_alpha 90.00
_cell_angle_beta 90.00
_cell_angle_gamma 90.00
_space_group_name_H-M_alt 'P 1'
_space_group_IT_number 1
_space_group_name_Hall 'P 1'
loop_
_atom_site_label
_atom_site_fract_x
_atom_site_fract_y
_atom_site_fract_z
I1 0.000 0.500 0.000
I2 0.500 0.000 0.000
Te1 0.000 0.000 0.500
Se1 0.000 0.000 0.000
La1 0.500 0.500 0.500
```

***

Record 10
The following is a PBE-GGA calculation of a geometry-optimized La8TeSe3I4 structure, from the Alexandria database.

Raw formation energy ... -1.451 eV per atom
Crystal system ... monoclinic
Symmetry ... No. 12

Cell and atoms, written as CIF:
```
data_La8TeSe3I4
_chemical_formula_sum 'La8 Te1 Se3 I4'
_cell_length_a 8.736
_cell_length_b 9.309
_cell_length_c 8.738
_cell_angle_alpha 118.00
_cell_angle_beta 119.99
_cell_angle_gamma 90.00
_space_group_name_H-M_alt 'P 1'
_space_group_IT_number 1
_space_group_name_Hall 'P 1'
loop_
_atom_site_label
_atom_site_fract_x
_atom_site_fract_y
_atom_site_fract_z
La1 0.248 0.715 0.967
La2 0.247 0.715 0.494
La3 0.265 0.295 0.530
La4 0.719 0.715 0.967
La5 0.281 0.285 0.033
La6 0.735 0.705 0.470
La7 0.753 0.285 0.506
La8 0.752 0.285 0.033
Te1 0.000 0.500 0.000
Se1 0.500 0.500 0.000
Se2 0.500 0.500 0.500
Se3 0.000 0.500 0.500
I1 0.500 0.000 0.000
I2 0.500 0.000 0.500
I3 0.000 0.000 0.000
I4 0.000 0.000 0.500
```

***

Record 11
The following is a PBE-GGA calculation of a geometry-optimized LaTlSe2I structure, from the Alexandria database.

Raw formation energy ... -0.126 eV per atom
Crystal system ... tetragonal
Symmetry ... No. 123

Cell and atoms, written as CIF:
```
data_LaTlSe2I
_chemical_formula_sum 'La1 Tl1 Se2 I1'
_cell_length_a 5.313
_cell_length_b 6.361
_cell_length_c 5.313
_cell_angle_alpha 90.00
_cell_angle_beta 90.00
_cell_angle_gamma 90.00
_space_group_name_H-M_alt 'P 1'
_space_group_IT_number 1
_space_group_name_Hall 'P 1'
loop_
_atom_site_label
_atom_site_fract_x
_atom_site_fract_y
_atom_site_fract_z
I1 0.500 0.500 0.500
Tl1 0.000 0.000 0.000
Se1 0.000 0.000 0.500
Se2 0.500 0.000 0.000
La1 0.000 0.500 0.000
```

***

Record 12
The following is a PBE-GGA calculation of a geometry-optimized LaZnSe2I structure, from the Alexandria database.

Raw formation energy ... -0.413 eV per atom
Crystal system ... tetragonal
Symmetry ... No. 123

Cell and atoms, written as CIF:
```
data_LaZnSe2I
_chemical_formula_sum 'La1 Zn1 Se2 I1'
_cell_length_a 5.826
_cell_length_b 5.826
_cell_length_c 6.377
_cell_angle_alpha 90.00
_cell_angle_beta 90.00
_cell_angle_gamma 90.00
_space_group_name_H-M_alt 'P 1'
_space_group_IT_number 1
_space_group_name_Hall 'P 1'
loop_
_atom_site_label
_atom_site_fract_x
_atom_site_fract_y
_atom_site_fract_z
I1 0.000 0.000 0.500
Zn1 0.500 0.500 0.500
Se1 0.000 0.500 0.000
Se2 0.500 0.000 0.000
La1 0.000 0.000 0.000
```